(1)
# RbTl2In2Cl6 PBE optimized geometry
# Magnetic moment   0.000 μB/cell
# DFT total energy   -3.085 eV/atom
data_RbTl2In2Cl6
_space_group_name_H-M_alt 'C 1 2/m 1'
_space_group_IT_number 12
_space_group_name_Hall '-C 2y'
_cell_length_a 13.463
_cell_length_b 7.885
_cell_length_c 8.897
_cell_angle_alpha 90.00
_cell_angle_beta 121.63
_cell_angle_gamma 90.00
loop_
_atom_site_label
_atom_site_type_symbol
_atom_site_fract_x
_atom_site_fract_y
_atom_site_fract_z
_atom_site_occupancy
Rb1 Rb 0.000 0.000 0.000 1
Tl1 Tl 0.220 0.000 0.637 1
In1 In 0.058 0.500 0.886 1
Cl1 Cl 0.074 0.261 0.329 1
Cl2 Cl 0.222 0.500 0.830 1



(2)
# Rb2TlIn3Cl6 PBE optimized geometry
# Magnetic moment   0.000 μB/cell
# DFT total energy   -3.179 eV/atom
data_Rb2TlIn3Cl6
_space_group_name_H-M_alt 'C 1 2/m 1'
_space_group_IT_number 12
_space_group_name_Hall '-C 2y'
_cell_length_a 20.153
_cell_length_b 4.634
_cell_length_c 9.237
_cell_angle_alpha 90.00
_cell_angle_beta 102.99
_cell_angle_gamma 90.00
loop_
_atom_site_label
_atom_site_type_symbol
_atom_site_fract_x
_atom_site_fract_y
_atom_site_fract_z
_atom_site_occupancy
Rb1 Rb 0.167 0.000 0.329 1
Tl1 Tl 0.000 0.500 0.000 1
In1 In 0.000 0.500 0.500 1
In2 In 0.166 0.000 0.832 1
Cl1 Cl 0.002 0.000 0.749 1
Cl2 Cl 0.163 0.500 0.582 1
Cl3 Cl 0.164 0.500 0.075 1



(3)
# Rb3TlIn2Cl6 PBE optimized geometry
# Magnetic moment   0.000 μB/cell
# DFT total energy   -3.222 eV/atom
data_Rb3TlIn2Cl6
_space_group_name_H-M_alt 'C 1 2/m 1'
_space_group_IT_number 12
_space_group_name_Hall '-C 2y'
_cell_length_a 20.280
_cell_length_b 4.672
_cell_length_c 9.287
_cell_angle_alpha 90.00
_cell_angle_beta 102.91
_cell_angle_gamma 90.00
loop_
_atom_site_label
_atom_site_type_symbol
_atom_site_fract_x
_atom_site_fract_y
_atom_site_fract_z
_atom_site_occupancy
Rb1 Rb 0.000 0.000 0.000 1
Rb2 Rb 0.167 0.500 0.331 1
Tl1 Tl 0.000 0.000 0.500 1
In1 In 0.166 0.500 0.832 1
Cl1 Cl 0.001 0.500 0.748 1
Cl2 Cl 0.166 0.000 0.585 1
Cl3 Cl 0.168 0.000 0.077 1